This record from Alexandria describes a geometry-optimized HoThZr structure. The functional is GGA-PBE.

Structure (POSCAR):
```
HoThZr
1.0
3.9709 0.0000 0.0000
0.0000 3.9709 0.0000
0.0000 0.0000 10.8939
Zr Th Ho
2 2 2
direct
0.5000 0.0000 0.0631 Zr
0.0000 0.5000 0.9369 Zr
0.0000 0.5000 0.2299 Th
0.5000 0.0000 0.7701 Th
0.5000 0.0000 0.4063 Ho
0.0000 0.5000 0.5937 Ho
```

The formation energy is 100.0 meV/atom. Its space group is P4/nmm, No. 129. Its total energy is -40.5 eV for the cell shown.